# Li4GaCu (PBE-GGA, optimized geometry)
# Total energy (eV/atom): -2.540
# Distance to the lowest polymorph of the same formula (eV per atom): 0.0823
data_Li4GaCu
_cell_length_a 13.510
_cell_length_b 6.520
_cell_length_c 4.797
_cell_angle_alpha 90.00
_cell_angle_beta 109.56
_cell_angle_gamma 90.00
_space_group_name_H-M_alt 'C 1 2/m 1'
_space_group_IT_number 12
_space_group_name_Hall '-C 2y'
loop_
_atom_site_label
_atom_site_type_symbol
_atom_site_fract_x
_atom_site_fract_y
_atom_site_fract_z
Li1 Li 0.000 0.179 0.000
Li2 Li 0.132 0.229 0.629
Li3 Li 0.179 0.500 0.182
Ga1 Ga 0.198 0.000 0.194
Cu1 Cu 0.002 0.500 0.746

# Li3GaCu4 (PBE-GGA, optimized geometry)
# Total energy (eV/atom): -3.159
# Distance to the lowest polymorph of the same formula (eV per atom): 0.0772
data_Li3GaCu4
_cell_length_a 5.044
_cell_length_b 8.559
_cell_length_c 4.858
_cell_angle_alpha 90.00
_cell_angle_beta 90.00
_cell_angle_gamma 90.00
_space_group_name_H-M_alt 'I m m 2'
_space_group_IT_number 44
_space_group_name_Hall 'I 2 -2'
loop_
_atom_site_label
_atom_site_type_symbol
_atom_site_fract_x
_atom_site_fract_y
_atom_site_fract_z
Li1 Li 0.000 0.000 0.000
Li2 Li 0.000 0.250 0.760
Ga1 Ga 0.000 0.500 0.475
Cu1 Cu 0.000 0.245 0.266
Cu2 Cu 0.249 0.000 0.483

# LiGa2Cu (PBE-GGA, optimized geometry)
# Total energy (eV/atom): -3.235
data_LiGa2Cu
_cell_length_a 14.310
_cell_length_b 7.034
_cell_length_c 5.031
_cell_angle_alpha 90.00
_cell_angle_beta 90.00
_cell_angle_gamma 90.00
_space_group_name_H-M_alt 'P n m a'
_space_group_IT_number 62
_space_group_name_Hall '-P 2ac 2n'
loop_
_atom_site_label
_atom_site_type_symbol
_atom_site_fract_x
_atom_site_fract_y
_atom_site_fract_z
Li1 Li 0.111 0.250 0.223
Li2 Li 0.142 0.750 0.456
Ga1 Ga 0.032 0.056 0.732
Ga2 Ga 0.215 0.554 0.930
Cu1 Cu 0.070 0.750 0.962
Cu2 Cu 0.182 0.250 0.716